The following is a GGA+U calculation of a relaxed structure of LiVOF2, from Alexandria via LeMat-Bulk.

Calculated values
Uncorrected energy: -6.203 eV per atom
Offset from the most stable computed form: 40 meV per atom
Spin magnetization: 16.0 μB/cell

```
data_LiVOF2
_cell_length_a 5.3895
_cell_length_b 8.9442
_cell_length_c 9.7968
_cell_angle_alpha 89.92
_cell_angle_beta 81.71
_cell_angle_gamma 89.90
_symmetry_space_group_name_H-M 'P 1'
_symmetry_Int_Tables_number 1
loop_
_symmetry_equiv_pos_as_xyz
'x,y,z'
loop_
_atom_site_label
_atom_site_fract_x
_atom_site_fract_y
_atom_site_fract_z
Li1 0.0000 0.0000 0.0000
Li2 0.0072 0.5078 0.5177
Li3 0.3615 0.1809 0.3768
Li4 0.3787 0.6890 0.8922
Li5 0.4980 0.1806 0.9982
Li6 0.5129 0.6882 0.5052
Li7 0.8674 0.0084 0.3741
Li8 0.8777 0.5074 0.8910
V1 0.4186 0.3602 0.7087
V2 0.4323 0.0014 0.7092
V3 0.4495 0.5222 0.1971
V4 0.4557 0.8534 0.1884
V5 0.9204 0.8350 0.7080
V6 0.9300 0.6950 0.1846
V7 0.9315 0.1924 0.7112
V8 0.9323 0.3331 0.1841
O1 0.0634 0.0110 0.7929
O2 0.0828 0.3460 0.7994
O3 0.2936 0.6794 0.0995
O4 0.5617 0.1835 0.7933
O5 0.5834 0.8482 0.7968
O6 0.5906 0.6758 0.3037
O7 0.7849 0.8469 0.0894
O8 0.8060 0.5041 0.0978
F1 0.0352 0.1934 0.3243
F2 0.0568 0.6830 0.8264
F3 0.0710 0.5024 0.3106
F4 0.0886 0.8554 0.3032
F5 0.2886 0.8500 0.5856
F6 0.2947 0.1834 0.5798
F7 0.2959 0.3479 0.0932
F8 0.3160 0.0129 0.0694
F9 0.3415 0.5051 0.5645
F10 0.5396 0.0070 0.3269
F11 0.5528 0.5091 0.8302
F12 0.5750 0.3396 0.2979
F13 0.7880 0.3450 0.5865
F14 0.7974 0.0137 0.5797
F15 0.8221 0.1828 0.0637
F16 0.8422 0.6888 0.5660
```